(1)
# Li2LaSb2

A geometry-optimized Li2LaSb2 structure (PBE-GGA, Alexandria via LeMat-Bulk).

Lattice parameters (Å, degrees): 8.643 8.643 3.412 90.00 90.00 90.00
Space group P4/mbm (No. 127)
Asymmetric unit:
Li 0.127 0.373 0.000 (multiplicity 4)
La 0.000 0.000 0.500 (multiplicity 2)
Sb 0.166 0.666 0.500 (multiplicity 4)

Computed properties:
**Energy above the most stable polymorph in this dataset**: 0.253 eV per atom


(2)
# LiLa2Sb

A geometry-optimized LiLa2Sb structure (PBE-GGA, Alexandria via LeMat-Bulk).

Lattice parameters (Å, degrees): 7.610 7.610 7.610 90.00 90.00 90.00
Space group F-43m (No. 216)
Asymmetric unit:
Li 0.000 0.000 0.000 (multiplicity 4)
La 0.000 0.000 0.500 (multiplicity 4)
La 0.250 0.250 0.250 (multiplicity 4)
Sb 0.250 0.250 0.750 (multiplicity 4)


Respective Fermi-level density of states values: 2.53, 6.15 states/eV/f.u..
Respective total energy values: -3.9605, -4.1579 eV/atom.